Compound: TbHoAlGa
Source: Alexandria via LeMat-Bulk
Functional: GGA-PBE
Structure: optimized geometry

Properties
Energy above the lowest structure with this stoichiometry in meV per atom: 0
Size of the total moment in μB/f.u.: 0.000
E_form in meV per atom: -509

a b c (Å): 4.0659 4.4067 11.0158
angles (deg): 90.00 90.00 90.00
Space group Amm2 (No. 38)
Unique sites:
Tb: 0.0000 0.0000 0.0000 (multiplicity 2)
Ho: 0.5000 0.0000 0.2808 (multiplicity 2)
Al: 0.0000 0.0000 0.7122 (multiplicity 2)
Ga: 0.5000 0.0000 0.5627 (multiplicity 2)

Compound: PrHoMgSc
Source: Alexandria via LeMat-Bulk
Functional: GGA-PBE
Structure: optimized geometry

Properties
Energy above the lowest structure with this stoichiometry in meV per atom: 25
Size of the total moment in μB/f.u.: 0.001
E_form in meV per atom: 23

a b c (Å): 7.7037 7.7037 7.7037
angles (deg): 90.00 90.00 90.00
Space group F-43m (No. 216)
Unique sites:
Pr: 0.0000 0.0000 0.0000 (multiplicity 4)
Ho: 0.0000 0.0000 0.5000 (multiplicity 4)
Mg: 0.2500 0.2500 0.7500 (multiplicity 4)
Sc: 0.2500 0.2500 0.2500 (multiplicity 4)

Compound: Ba3Ca2Ac2Tl4
Source: Alexandria via LeMat-Bulk
Functional: GGA-PBE
Structure: optimized geometry

Properties
Size of the total moment in μB/f.u.: 0.000
E_form in meV per atom: -210

a b c (Å): 5.8088 5.8088 15.1518
angles (deg): 90.00 90.00 120.00
Space group P-3m1 (No. 164)
Unique sites:
Ba: 0.0000 0.0000 0.0000 (multiplicity 1)
Ba: 0.0000 0.0000 0.2706 (multiplicity 2)
Ca: 0.3333 0.6667 0.1294 (multiplicity 2)
Ac: 0.3333 0.6667 0.5787 (multiplicity 2)
Tl: 0.3333 0.6667 0.3563 (multiplicity 2)
Tl: 0.3333 0.6667 0.8749 (multiplicity 2)

Compound: Dy2C3
Source: Alexandria via LeMat-Bulk
Functional: GGA-PBE
Structure: optimized geometry

Properties
Size of the total moment in μB/f.u.: 0.000
E_form in meV per atom: -265

a b c (Å): 8.2363 8.2363 8.2363
angles (deg): 90.00 90.00 90.00
Space group I-43d (No. 220)
Unique sites:
Dy: 0.0505 0.0505 0.0505 (multiplicity 16)
C: 0.0000 0.2500 0.2936 (multiplicity 24)

What is the E_form in the third record? -210 meV per atom

The lowest E_form belongs to which entry? TbHoAlGa

Repeat the fourth record exactly.
Compound: Dy2C3
Source: Alexandria via LeMat-Bulk
Functional: GGA-PBE
Structure: optimized geometry

Properties
Size of the total moment in μB/f.u.: 0.000
E_form in meV per atom: -265

a b c (Å): 8.2363 8.2363 8.2363
angles (deg): 90.00 90.00 90.00
Space group I-43d (No. 220)
Unique sites:
Dy: 0.0505 0.0505 0.0505 (multiplicity 16)
C: 0.0000 0.2500 0.2936 (multiplicity 24)